(1)
First-principles (PBE) data for an optimized crystal structure of Sr3Pb5Au12, as listed in Alexandria via LeMat-Bulk.

Calculated values
Mass density in g/cm³: 9.69
ΔH_f (0 K) in eV/atom: -0.092
SG: Ia-3d
Magnetization in μB per atom: 0.00

Structure (POSCAR):
```
Sr3Pb5Au12
1.0
-8.562 8.562 8.562
8.562 -8.562 8.562
8.562 8.562 -8.562
Sr Pb Au
12 20 48
direct
0.125 0.250 0.375 Sr
0.125 0.375 0.750 Sr
0.250 0.375 0.125 Sr
0.250 0.875 0.625 Sr
0.375 0.125 0.250 Sr
0.375 0.750 0.125 Sr
0.625 0.250 0.875 Sr
0.625 0.875 0.750 Sr
0.750 0.125 0.375 Sr
0.750 0.625 0.875 Sr
0.875 0.625 0.250 Sr
0.875 0.750 0.625 Sr
0.000 0.000 0.000 Pb
0.000 0.000 0.500 Pb
0.000 0.500 0.000 Pb
0.000 0.500 0.500 Pb
0.125 0.750 0.875 Pb
0.125 0.875 0.250 Pb
0.250 0.125 0.875 Pb
0.250 0.625 0.375 Pb
0.375 0.250 0.625 Pb
0.375 0.625 0.750 Pb
0.500 0.000 0.000 Pb
0.500 0.000 0.500 Pb
0.500 0.500 0.000 Pb
0.500 0.500 0.500 Pb
0.625 0.375 0.250 Pb
0.625 0.750 0.375 Pb
0.750 0.375 0.625 Pb
0.750 0.875 0.125 Pb
0.875 0.125 0.750 Pb
0.875 0.250 0.125 Pb
0.066 0.227 0.147 Au
0.066 0.339 0.919 Au
0.080 0.727 0.661 Au
0.080 0.853 0.419 Au
0.081 0.647 0.420 Au
0.081 0.934 0.661 Au
0.147 0.066 0.227 Au
0.147 0.581 0.920 Au
0.161 0.227 0.580 Au
0.161 0.434 0.581 Au
0.227 0.147 0.066 Au
0.227 0.580 0.161 Au
0.273 0.339 0.920 Au
0.273 0.434 0.353 Au
0.339 0.919 0.066 Au
0.339 0.920 0.273 Au
0.353 0.273 0.434 Au
0.353 0.580 0.919 Au
0.419 0.080 0.853 Au
0.419 0.839 0.566 Au
0.420 0.081 0.647 Au
0.420 0.839 0.773 Au
0.434 0.353 0.273 Au
0.434 0.581 0.161 Au
0.566 0.419 0.839 Au
0.566 0.647 0.727 Au
0.580 0.161 0.227 Au
0.580 0.919 0.353 Au
0.581 0.161 0.434 Au
0.581 0.920 0.147 Au
0.647 0.420 0.081 Au
0.647 0.727 0.566 Au
0.661 0.080 0.727 Au
0.661 0.081 0.934 Au
0.727 0.566 0.647 Au
0.727 0.661 0.080 Au
0.773 0.420 0.839 Au
0.773 0.853 0.934 Au
0.839 0.566 0.419 Au
0.839 0.773 0.420 Au
0.853 0.419 0.080 Au
0.853 0.934 0.773 Au
0.919 0.066 0.339 Au
0.919 0.353 0.580 Au
0.920 0.147 0.581 Au
0.920 0.273 0.339 Au
0.934 0.661 0.081 Au
0.934 0.773 0.853 Au
```

---

(2)
First-principles (PBE) data for an optimized crystal structure of Sr2Pb8Au, as listed in Alexandria via LeMat-Bulk.

Calculated values
Mass density in g/cm³: 9.81
ΔH_f (0 K) in eV/atom: -0.252
SG: P4/mmm
Magnetization in μB per atom: 0.00

Structure (POSCAR):
```
Sr2Pb8Au
1.0
5.055 0.000 0.000
0.000 5.055 0.000
0.000 0.000 13.443
Sr Pb Au
2 8 1
direct
0.000 0.000 0.183 Sr
0.000 0.000 0.817 Sr
0.000 0.500 0.000 Pb
0.000 0.500 0.372 Pb
0.000 0.500 0.628 Pb
0.500 0.000 0.000 Pb
0.500 0.000 0.372 Pb
0.500 0.000 0.628 Pb
0.500 0.500 0.190 Pb
0.500 0.500 0.810 Pb
0.000 0.000 0.500 Au
```

---

(3)
First-principles (PBE) data for an optimized crystal structure of Sr2PbAu, as listed in Alexandria via LeMat-Bulk.

Calculated values
Mass density in g/cm³: 7.58
ΔH_f (0 K) in eV/atom: -0.624
SG: Pmm2
Magnetization in μB per atom: 0.00

Structure (POSCAR):
```
Sr2PbAu
1.0
3.874 0.000 0.000
0.000 5.725 0.000
0.000 0.000 5.726
Sr Pb Au
2 1 1
direct
0.000 0.000 0.000 Sr
0.000 0.500 0.498 Sr
0.500 0.500 0.998 Pb
0.500 0.000 0.501 Au
```

---

(4)
First-principles (PBE) data for an optimized crystal structure of SrPb3Au8, as listed in Alexandria via LeMat-Bulk.

Calculated values
Mass density in g/cm³: 14.07
ΔH_f (0 K) in eV/atom: -0.234
SG: R3m
Magnetization in μB per atom: 0.00

Structure (POSCAR):
```
SrPb3Au8
1.0
2.883 1.664 9.369
-2.883 1.664 9.369
0.000 -3.329 9.369
Sr Pb Au
1 3 8
direct
0.000 0.000 0.000 Sr
0.379 0.379 0.379 Pb
0.503 0.503 0.503 Pb
0.873 0.873 0.873 Pb
0.188 0.188 0.188 Au
0.438 0.438 0.938 Au
0.438 0.938 0.438 Au
0.438 0.938 0.938 Au
0.688 0.688 0.688 Au
0.938 0.438 0.438 Au
0.938 0.438 0.938 Au
0.938 0.938 0.438 Au
```

---

(5)
First-principles (PBE) data for an optimized crystal structure of Sr6Pb5Au, as listed in Alexandria via LeMat-Bulk.

Calculated values
Mass density in g/cm³: 7.18
ΔH_f (0 K) in eV/atom: -0.550
SG: Cmmm
Magnetization in μB per atom: 0.00

Structure (POSCAR):
```
Sr6Pb5Au
1.0
2.917 -8.715 0.000
2.917 8.715 0.000
0.000 0.000 8.000
Sr Pb Au
6 5 1
direct
0.000 0.000 0.238 Sr
0.000 0.000 0.762 Sr
0.339 0.661 0.241 Sr
0.339 0.661 0.759 Sr
0.661 0.339 0.241 Sr
0.661 0.339 0.759 Sr
0.167 0.833 0.000 Pb
0.168 0.832 0.500 Pb
0.500 0.500 0.500 Pb
0.832 0.168 0.500 Pb
0.833 0.167 0.000 Pb
0.500 0.500 0.000 Au
```

---

(6)
First-principles (PBE) data for an optimized crystal structure of Sr3PbAu, as listed in Alexandria via LeMat-Bulk.

Calculated values
Mass density in g/cm³: 5.24
ΔH_f (0 K) in eV/atom: -0.373
Polymorph energy (0 for the lowest one) in meV/atom: 128
SG: Pm-3m
Magnetization in μB per atom: 0.00

Structure (POSCAR):
```
Sr3PbAu
1.0
5.958 0.000 0.000
0.000 5.958 0.000
0.000 0.000 5.958
Sr Pb Au
3 1 1
direct
0.000 0.000 0.500 Sr
0.000 0.500 0.000 Sr
0.500 0.000 0.000 Sr
0.500 0.500 0.500 Pb
0.000 0.000 0.000 Au
```

---

(7)
First-principles (PBE) data for an optimized crystal structure of SrPb3Au, as listed in Alexandria via LeMat-Bulk.

Calculated values
Mass density in g/cm³: 8.33
ΔH_f (0 K) in eV/atom: -0.042
Polymorph energy (0 for the lowest one) in meV/atom: 248
SG: Pm-3m
Magnetization in μB per atom: 0.00

Structure (POSCAR):
```
SrPb3Au
1.0
5.652 0.000 0.000
0.000 5.652 0.000
0.000 0.000 5.652
Sr Pb Au
1 3 1
direct
0.000 0.000 0.000 Sr
0.000 0.500 0.500 Pb
0.500 0.000 0.500 Pb
0.500 0.500 0.000 Pb
0.500 0.500 0.500 Au
```

---

(8)
First-principles (PBE) data for an optimized crystal structure of SrPb2Au9, as listed in Alexandria via LeMat-Bulk.

Calculated values
Mass density in g/cm³: 14.23
ΔH_f (0 K) in eV/atom: -0.242
Polymorph energy (0 for the lowest one) in meV/atom: 2
SG: P6_3/mmc
Magnetization in μB per atom: 0.00

Structure (POSCAR):
```
SrPb2Au9
1.0
5.792 0.000 0.000
-2.896 5.016 0.000
0.000 0.000 18.270
Sr Pb Au
2 4 18
direct
0.333 0.667 0.250 Sr
0.667 0.333 0.750 Sr
0.333 0.667 0.034 Pb
0.333 0.667 0.466 Pb
0.667 0.333 0.534 Pb
0.667 0.333 0.966 Pb
0.000 0.000 0.000 Au
0.000 0.000 0.250 Au
0.000 0.000 0.500 Au
0.000 0.000 0.750 Au
0.168 0.337 0.624 Au
0.168 0.337 0.876 Au
0.168 0.832 0.624 Au
0.168 0.832 0.876 Au
0.333 0.667 0.750 Au
0.337 0.168 0.124 Au
0.337 0.168 0.376 Au
0.663 0.832 0.624 Au
0.663 0.832 0.876 Au
0.667 0.333 0.250 Au
0.832 0.168 0.124 Au
0.832 0.168 0.376 Au
0.832 0.663 0.124 Au
0.832 0.663 0.376 Au
```